The following is a DFT calculation (PBE) of ScBePb4 after structural relaxation.

Cell lengths 6.337, 6.337, 6.337 Å; angles 60.00, 60.00, 60.00 degrees
Positions (direct):
1 Sc 0.750 0.750 0.750
2 Pb 0.376 0.873 0.376
3 Pb 0.873 0.376 0.376
4 Pb 0.376 0.376 0.873
5 Be 0.000 0.000 0.000
6 Pb 0.376 0.376 0.376

- E (eV/atom) = -3.5440
- formation energy (meV per atom) = 605
- V (Å³ per cell) = 180

The following is a DFT calculation (PBE) of ScBe2Pb after structural relaxation.

Cell lengths 4.625, 4.625, 4.625 Å; angles 60.00, 60.00, 60.00 degrees
Positions (direct):
1 Be 0.000 0.000 0.000
2 Pb 0.500 0.500 0.500
3 Be 0.750 0.750 0.750
4 Sc 0.250 0.250 0.250

- E (eV/atom) = -3.8798
- formation energy (meV per atom) = 493
- V (Å³ per cell) = 70

The following is a DFT calculation (PBE) of Sc2BePb after structural relaxation.

Cell lengths 5.813, 5.813, 5.813 Å; angles 144.89, 132.80, 60.17 degrees
Positions (direct):
1 Be 0.512 0.512 0.000
2 Sc 0.272 0.772 0.500
3 Sc 0.001 0.001 0.000
4 Pb 0.715 0.215 0.500

- E (eV/atom) = -5.0792
- formation energy (meV per atom) = -55
- excess energy over the best structure of this formula in the dataset (meV/atom) = 80
- V (Å³ per cell) = 82

The following is a DFT calculation (PBE) of ScBePb after structural relaxation.

Cell lengths 4.378, 4.378, 4.378 Å; angles 60.00, 60.00, 60.00 degrees
Positions (direct):
1 Pb 0.000 0.000 0.000
2 Sc 0.500 0.500 0.500
3 Be 0.750 0.750 0.750

- E (eV/atom) = -4.5983
- formation energy (meV per atom) = -10
- excess energy over the best structure of this formula in the dataset (meV/atom) = 34
- V (Å³ per cell) = 59

The following is a DFT calculation (PBE) of Sc3BePb after structural relaxation.

Cell lengths 5.381, 5.381, 5.381 Å; angles 90.00, 90.00, 90.00 degrees
Positions (direct):
1 Pb 0.000 0.000 0.000
2 Sc 0.000 0.000 0.500
3 Sc 0.500 0.000 0.000
4 Be 0.500 0.500 0.500
5 Sc 0.000 0.500 0.000

- E (eV/atom) = -4.3737
- formation energy (meV per atom) = 912
- excess energy over the best structure of this formula in the dataset (meV/atom) = 1001
- V (Å³ per cell) = 156

The following is a DFT calculation (PBE) of ScBe2Pb after structural relaxation.

Cell lengths 5.224, 5.224, 5.224 Å; angles 135.71, 135.71, 64.44 degrees
Positions (direct):
1 Pb 0.500 0.500 0.000
2 Be 0.250 0.750 0.500
3 Sc 0.750 0.250 0.500
4 Be 0.000 0.000 0.000

- E (eV/atom) = -4.0617
- formation energy (meV per atom) = 311
- V (Å³ per cell) = 69

N(E_F) for the records above, in order: 4.73; 2.48; 3.46; 1.09; 8.27; 2.24 states/eV per cell